1.
The following is a PBE-GGA calculation of crystalline BaGa2CuSb at its relaxed geometry, from Alexandria.

Lattice parameters (Å, degrees): 6.1079 6.1079 6.2667 90.00 90.00 90.00
Fractional coordinates of all 5 atoms:
1 Ba 0.0000 0.0000 0.0000
2 Ga 0.0000 0.5000 0.0000
3 Ga 0.5000 0.0000 0.0000
4 Cu 0.5000 0.5000 0.5000
5 Sb 0.0000 0.0000 0.5000

Output
- Raw formation energy: 1.241 eV per atom
- Space-group type: P4/mmm, No. 123
- DOS at the Fermi energy: 5.654 states/eV/cell
- Raw total energy: -1.998 eV per atom
- V: 233.8 Å³ per cell
- Mass density: 3.3 g/cm³

2.
The following is a PBE-GGA calculation of crystalline BaGa2CuSe4 at its relaxed geometry, from Alexandria.

Lattice parameters (Å, degrees): 6.6000 6.6000 6.6000 116.72 116.72 95.79
Fractional coordinates of all 8 atoms:
1 Ba 0.0000 0.0000 0.0000
2 Ga 0.2500 0.7500 0.5000
3 Ga 0.7500 0.2500 0.5000
4 Cu 0.5000 0.5000 0.0000
5 Se 0.1422 0.5416 0.0000
6 Se 0.4584 0.4584 0.6006
7 Se 0.5416 0.1422 0.0000
8 Se 0.8578 0.8578 0.3994

Output
- Raw formation energy: -0.698 eV per atom
- Space-group type: I-42m, No. 121
- DOS at the Fermi energy: 3.956 states/eV/cell
- Raw total energy: -3.949 eV per atom
- V: 212.2 Å³ per cell
- Mass density: 5.1 g/cm³

3.
The following is a PBE-GGA calculation of crystalline BaGa2CuSi at its relaxed geometry, from Alexandria.

Lattice parameters (Å, degrees): 6.2070 6.2070 6.2070 138.39 138.03 60.58
Fractional coordinates of all 5 atoms:
1 Ba 0.0000 0.0000 0.0000
2 Ga 0.3789 0.3789 0.0000
3 Ga 0.7512 0.2512 0.5000
4 Cu 0.2417 0.7417 0.5000
5 Si 0.6244 0.6244 0.0000

Output
- Polymorph energy (0 for the lowest one): 0 meV/atom
- Raw formation energy: -0.310 eV per atom
- Space-group type: Imm2, No. 44
- DOS at the Fermi energy: 1.444 states/eV/cell
- Raw total energy: -3.809 eV per atom
- V: 105.1 Å³ per cell
- Mass density: 5.8 g/cm³